Computed, not measured: a relaxed structure of Ce2PtI at the PBE level of DFT.

Lattice parameters (Å, degrees): 4.251 4.251 8.275 75.11 75.11 60.00
Site moments in Bohr magnetons follow the coordinates.
Sites, in units of the cell vectors:
I 0.500 0.500 0.500  -0.01
Ce 0.270 0.270 0.191  0.93
Ce 0.730 0.730 0.809  0.93
Pt 0.000 0.000 0.000  -0.01

## Properties
raw formation energy = -999 meV/atom
SG = R-3m, No. 166
offset from the most stable computed form = 0 meV per atom



Computed, not measured: a relaxed structure of Ni2TePb at the PBE level of DFT.

Lattice parameters (Å, degrees): 3.335 3.429 6.926 79.06 90.00 90.00
Sites, in units of the cell vectors:
Ni 0.000 0.175 0.938
Ni 0.000 0.325 0.562
Pb 0.500 0.250 0.250
Te 0.500 0.750 0.750

## Properties
raw formation energy = 194 meV/atom
SG = P2/m, No. 10
offset from the most stable computed form = 277 meV per atom



Computed, not measured: a relaxed structure of Er2Al8Ga at the PBE level of DFT.

Lattice parameters (Å, degrees): 4.277 4.277 11.555 90.00 90.00 90.00
Sites, in units of the cell vectors:
Er 0.000 0.000 0.318
Er 0.000 0.000 0.682
Al 0.000 0.500 0.500
Al 0.500 0.000 0.500
Al 0.500 0.500 0.314
Al 0.500 0.500 0.686
Al 0.000 0.500 0.133
Al 0.500 0.000 0.133
Al 0.000 0.500 0.867
Al 0.500 0.000 0.867
Ga 0.000 0.000 0.000

## Properties
SG = P4/mmm, No. 123
calculated formation energy = -0.206 eV per atom



Computed, not measured: a relaxed structure of YTeOF2 at the PBE level of DFT.

Lattice parameters (Å, degrees): 4.356 4.356 4.699 90.00 90.00 90.00
Site moments in Bohr magnetons follow the coordinates.
Sites, in units of the cell vectors:
Y 0.000 0.000 0.000  0.00
Te 0.500 0.500 0.500  0.36
O 0.000 0.000 0.500  -0.01
F 0.000 0.500 0.000  0.03
F 0.500 0.000 0.000  0.03

## Properties
raw formation energy = -2272 meV/atom
SG = P4/mmm, No. 123
offset from the most stable computed form = 0 meV per atom